1.
Ag5GeTe4Cl2, optimized geometry, DFT PBE; raw formation energy = -172.4 meV per atom
1.0
-2.559 6.043 -0.327
-4.461 -5.403 1.075
0.947 0.843 8.165
Ag Ge Te Cl
5 1 4 2
Direct
0.077 0.373 0.237
0.360 0.000 0.500
0.077 0.373 0.763
0.705 0.627 0.763
0.705 0.627 0.237
0.451 0.000 0.000
0.666 0.000 0.265
0.666 0.000 0.735
0.398 0.349 0.000
0.049 0.651 0.000
0.954 0.655 0.500
0.299 0.345 0.500

***

2.
Np2As7Rh12, optimized geometry, DFT PBE; formation energy from the elements = -0.5377 eV per atom
1.0
3.935 0.000 0.000
0.000 8.642 -4.989
0.000 0.000 9.979
Np As Rh
2 7 12
Direct
0.250 0.333 0.667
0.750 0.667 0.333
0.500 0.000 0.000
0.250 0.881 0.287
0.250 0.406 0.119
0.250 0.713 0.594
0.750 0.119 0.713
0.750 0.594 0.881
0.750 0.287 0.406
0.250 0.617 0.063
0.250 0.445 0.383
0.250 0.937 0.555
0.750 0.383 0.937
0.750 0.555 0.617
0.750 0.063 0.445
0.245 0.113 0.263
0.245 0.149 0.887
0.245 0.737 0.851
0.755 0.887 0.737
0.755 0.851 0.113
0.755 0.263 0.149

***

3.
K4In2Hg, optimized geometry, DFT PBE; formation energy from the elements = 0.0287 eV per atom
1.0
6.828 0.000 0.000
0.000 6.828 0.000
3.414 3.414 8.324
K Hg In
4 1 2
Direct
0.794 0.794 0.412
0.206 0.206 0.588
0.000 0.500 0.000
0.500 0.000 0.000
0.000 0.000 0.000
0.585 0.585 0.831
0.415 0.415 0.169

***

4.
BrCl4, optimized geometry, DFT PBE; raw formation energy = 284.5 meV per atom
1.0
-6.599 6.599 1.209
6.599 -6.599 1.209
6.599 6.599 -1.209
Br Cl
1 4
Direct
0.000 0.000 0.000
0.201 0.598 0.798
0.598 0.799 0.397
0.799 0.402 0.202
0.402 0.201 0.603

***

5.
Sm2Dy6Y5, optimized geometry, DFT PBE; formation energy from the elements = 0.0998 eV per atom
1.0
3.597 0.000 0.000
0.000 11.665 0.000
0.000 0.000 20.295
Sm Dy Y
4 12 10
Direct
0.000 0.331 0.286
0.000 0.669 0.714
0.000 0.831 0.214
0.000 0.169 0.786
0.000 0.080 0.366
0.000 0.920 0.634
0.000 0.580 0.134
0.000 0.420 0.866
0.500 0.325 0.131
0.500 0.675 0.869
0.500 0.825 0.369
0.500 0.175 0.631
0.000 0.561 0.422
0.000 0.439 0.578
0.000 0.061 0.078
0.000 0.939 0.922
0.500 0.301 0.447
0.500 0.699 0.553
0.500 0.801 0.053
0.500 0.199 0.947
0.500 0.590 0.277
0.500 0.410 0.723
0.500 0.090 0.223
0.500 0.910 0.777
0.500 0.500 0.000
0.500 0.000 0.500

***

6.
Li3Be2Pt2, optimized geometry, DFT PBE; formation energy from the elements = -0.5309 eV per atom
1.0
-0.410 -2.829 -2.785
1.400 -0.949 3.615
-5.793 1.150 2.538
Li Be Pt
3 2 2
Direct
0.000 0.000 0.000
0.699 0.850 0.549
0.301 0.150 0.451
0.425 0.713 0.138
0.575 0.287 0.862
0.167 0.584 0.751
0.833 0.416 0.249

***

7.
MnAgCl4, optimized geometry, DFT PBE; raw formation energy = 602.0 meV per atom
1.0
0.000 4.158 4.158
4.158 0.000 4.158
4.158 4.158 0.000
Mn Ag Cl
1 1 4
Direct
0.250 0.250 0.250
0.000 0.000 0.000
0.625 0.125 0.625
0.125 0.625 0.625
0.625 0.625 0.625
0.625 0.625 0.125

***

8.
Compound: Ti3VH4
Source: the Alexandria database
Functional: PBE
Structure: optimized geometry

POSCAR file:
```
Ti3VH4
1.0
4.701 0.000 0.000
0.000 4.688 0.000
0.000 0.000 6.658
Ti V H
6 2 8
Direct
0.502 0.753 0.000
0.003 0.744 0.249
0.503 0.256 0.251
0.002 0.247 0.500
0.503 0.256 0.749
0.003 0.744 0.751
0.001 0.251 0.000
0.501 0.749 0.500
0.129 0.892 0.000
0.643 0.129 0.000
0.117 0.358 0.243
0.617 0.642 0.257
0.143 0.871 0.500
0.629 0.108 0.500
0.617 0.642 0.743
0.117 0.358 0.757
```

***

9.
RbRe4S8, optimized geometry, DFT PBE; raw formation energy = -382.0 meV per atom
1.0
3.197 0.000 0.693
1.435 8.523 1.100
-0.235 0.061 8.813
Rb Re S
1 4 8
Direct
0.516 0.002 0.967
0.380 0.802 0.438
0.840 0.493 0.827
0.192 0.510 0.106
0.652 0.201 0.495
0.129 0.366 0.375
0.555 0.674 0.216
0.477 0.329 0.718
0.902 0.638 0.558
0.844 0.995 0.316
0.217 0.685 0.881
0.187 0.008 0.617
0.814 0.318 0.053

***

10.
Rb12InHg6, optimized geometry, DFT PBE; formation energy from the elements = -0.1269 eV per atom
1.0
10.410 0.000 -3.681
-5.205 9.015 -3.681
0.000 0.000 11.042
Rb In Hg
12 1 6
Direct
0.291 0.109 0.819
0.291 0.472 0.181
0.709 0.528 0.819
0.709 0.891 0.181
0.109 0.819 0.291
0.472 0.181 0.291
0.528 0.819 0.709
0.891 0.181 0.709
0.819 0.291 0.109
0.181 0.291 0.472
0.819 0.709 0.528
0.181 0.709 0.891
0.000 0.000 0.000
0.381 0.500 0.881
0.619 0.500 0.119
0.500 0.881 0.381
0.500 0.119 0.619
0.881 0.381 0.500
0.119 0.619 0.500

***

11.
Pm2SiRu, optimized geometry, DFT PBE; raw formation energy = -318.8 meV per atom
1.0
-1.958 -3.191 0.934
2.017 -2.312 -3.668
3.593 -1.373 2.841
Ru Si Pm
1 1 2
Direct
0.500 0.500 0.500
0.500 0.000 0.000
0.000 0.000 0.500
0.000 0.500 0.000

***

12.
AgTePt2, optimized geometry, DFT PBE; raw formation energy = 30.5 meV per atom
1.0
-0.184 2.571 -4.799
-4.860 0.217 -2.452
2.413 1.255 4.720
Te Ag Pt
1 1 2
Direct
0.531 0.531 0.000
0.256 0.756 0.500
0.972 0.972 0.000
0.742 0.242 0.500

***

13.
TcTeRh3, optimized geometry, DFT PBE; raw formation energy = 1043.9 meV per atom
1.0
4.698 0.000 0.000
0.000 4.698 0.000
0.000 0.000 4.698
Te Rh Tc
1 3 1
Direct
0.500 0.500 0.500
0.000 0.500 0.000
0.000 0.000 0.500
0.500 0.000 0.000
0.000 0.000 0.000

***

14.
ZrMn3Pt4, optimized geometry, DFT PBE; formation energy from the elements = -0.5392 eV per atom
1.0
4.794 0.000 0.000
0.000 5.770 0.000
0.000 0.000 9.223
Mn Pt Zr
6 8 2
Direct
0.000 0.000 0.000
0.000 0.000 0.500
0.618 0.000 0.750
0.382 0.000 0.250
0.587 0.500 0.750
0.413 0.500 0.250
0.500 0.756 0.000
0.500 0.756 0.500
0.500 0.244 0.000
0.500 0.244 0.500
0.118 0.759 0.750
0.882 0.759 0.250
0.882 0.241 0.250
0.118 0.241 0.750
0.000 0.500 0.000
0.000 0.500 0.500

***

15.
CaEr5Tl3, optimized geometry, DFT PBE; formation energy from the elements = -0.2684 eV per atom
1.0
-2.046 -2.163 6.058
2.783 -8.605 -2.133
5.888 5.906 4.097
Ca Er Tl
2 10 6
Direct
0.000 0.000 0.000
0.500 0.000 0.000
0.000 0.667 0.333
0.500 0.333 0.667
0.000 0.333 0.667
0.500 0.667 0.333
0.750 0.663 0.663
0.750 0.000 0.337
0.750 0.337 0.000
0.250 0.337 0.337
0.250 0.000 0.663
0.250 0.663 0.000
0.750 0.331 0.331
0.750 0.000 0.669
0.750 0.669 0.000
0.250 0.669 0.669
0.250 0.000 0.331
0.250 0.331 0.000

***

16.
TbPr2Sm, optimized geometry, DFT PBE; formation energy from the elements = 0.0171 eV per atom
1.0
-1.948 -0.070 -3.107
0.673 -2.569 -2.529
-8.382 -8.032 3.270
Tb Pr Sm
1 2 1
Direct
0.667 0.667 0.998
0.083 0.083 0.752
0.251 0.251 0.248
0.500 0.500 0.501

***

17.
Tb2SmTeO8, optimized geometry, DFT PBE; raw formation energy = -2482.3 meV per atom
1.0
5.058 -0.042 -0.003
-0.013 5.062 -0.005
0.004 0.008 6.990
Tb Sm Te O
2 1 1 8
Direct
0.500 0.500 0.756
0.500 0.500 0.244
0.000 0.000 0.500
0.000 0.000 0.000
0.182 0.817 0.208
0.725 0.727 0.000
0.818 0.183 0.208
0.818 0.183 0.792
0.275 0.273 0.000
0.182 0.817 0.792
0.685 0.686 0.500
0.315 0.314 0.500

***

18.
YZnPd3, optimized geometry, DFT PBE; formation energy from the elements = -0.2855 eV per atom
1.0
4.657 0.000 0.000
0.000 4.657 0.000
0.000 0.000 4.657
Y Zn Pd
1 1 3
Direct
0.500 0.500 0.500
0.000 0.000 0.000
0.000 0.500 0.000
0.000 0.000 0.500
0.500 0.000 0.000

***

19.
La6Pm2NdHo, optimized geometry, DFT PBE; formation energy from the elements = 0.1796 eV per atom
1.0
-8.802 2.802 -1.248
0.526 -1.393 -6.837
-0.367 -4.960 4.563
La Pm Nd Ho
6 2 1 1
Direct
0.422 0.628 0.256
0.194 0.034 0.603
0.806 0.432 0.397
0.194 0.568 0.603
0.806 0.966 0.397
0.578 0.372 0.744
0.169 0.073 0.145
0.831 0.927 0.855
0.500 0.000 0.000
0.000 0.500 0.000

***

20.
Cr3Ir3Os, optimized geometry, DFT PBE; formation energy from the elements = 0.0951 eV per atom
1.0
-4.675 -3.682 1.167
3.837 -3.805 2.752
-0.852 2.268 4.751
Cr Ir Os
6 6 2
Direct
0.264 0.264 0.524
0.350 0.650 0.500
0.650 0.350 0.500
0.249 0.751 0.000
0.751 0.249 0.000
0.736 0.736 0.476
0.983 0.983 0.748
0.478 0.015 0.255
0.015 0.478 0.255
0.522 0.985 0.745
0.985 0.522 0.745
0.017 0.017 0.252
0.352 0.352 0.955
0.648 0.648 0.045

***

| no. | VASP energy (eV per atom) |
| --- | --- |
| 1 | -3.10 |
| 2 | -7.52 |
| 3 | -1.42 |
| 4 | -1.53 |
| 5 | -5.24 |
| 6 | -4.14 |
| 7 | -2.63 |
| 8 | -6.09 |
| 9 | -6.83 |
| 10 | -0.98 |
| 11 | -6.37 |
| 12 | -4.49 |
| 13 | -6.07 |
| 14 | -8.07 |
| 15 | -3.81 |
| 16 | -4.71 |
| 17 | -7.21 |
| 18 | -4.95 |
| 19 | -4.66 |
| 20 | -9.43 |